The following is a PBE with a Hubbard U calculation of crystalline NiMoRhO6 at its relaxed geometry, from Alexandria via LeMat-Bulk.

Cell lengths 5.0415, 5.0415, 9.0661 Å; angles 90.00, 90.00, 120.00 degrees
Positions (direct):
Ni 0.0000 0.0000 0.0000
Ni 0.0000 0.0000 0.5000
Mo 0.3333 0.6667 0.2500
Mo 0.6667 0.3333 0.7500
Rh 0.3333 0.6667 0.7500
Rh 0.6667 0.3333 0.2500
O 0.0109 0.3475 0.1293
O 0.0109 0.6634 0.3707
O 0.3366 0.3475 0.3707
O 0.3366 0.9891 0.1293
O 0.3475 0.0109 0.6293
O 0.3475 0.3366 0.8707
O 0.6525 0.6634 0.1293
O 0.6525 0.9891 0.3707
O 0.6634 0.0109 0.8707
O 0.6634 0.6525 0.6293
O 0.9891 0.3366 0.6293
O 0.9891 0.6525 0.8707

Summary:
Calculated volume = 11.09 Å³/atom
E = -0.23024 Ha/atom
Symmetry = P-31c